Pm2NdHo6Tm3 PBE optimized geometry; VASP energy = -4.574 eV/atom; formation enthalpy at 0 K = 0.3 eV per formula unit; total magnetization = 0.00 Bohr magnetons per cell
1.0
3.077 -5.324 0.000
3.077 5.324 0.000
-2.046 0.000 11.562
Pm Nd Ho Tm
2 1 6 3
Cartesian
3.077 3.550 0.000
3.077 -3.550 0.000
3.077 0.000 0.000
-0.002 1.776 8.617
1.032 0.000 2.945
-0.002 -1.776 8.617
4.110 1.776 2.945
3.076 0.000 8.616
4.110 -1.776 2.945
-1.023 0.000 5.781
2.054 1.776 5.781
2.054 -1.776 5.781

---

Pm3Ag5Pd2 PBE optimized geometry; VASP energy = -4.160 eV/atom; formation enthalpy at 0 K = -2.7 eV per formula unit; total magnetization = 0.00 Bohr magnetons per cell
1.0
-5.808 6.583 2.996
5.808 -6.583 2.996
5.808 6.583 -2.996
Pm Ag Pd
6 10 4
Cartesian
7.256 3.191 0.000
0.000 0.000 1.498
1.449 3.393 0.000
4.359 3.191 2.996
0.000 0.000 4.494
-1.449 3.393 2.996
4.359 1.907 0.000
2.964 0.000 1.498
5.808 0.000 1.498
8.651 0.000 1.498
4.359 -1.907 2.996
1.449 8.490 0.000
-2.844 6.583 1.498
0.000 6.583 1.498
2.844 6.583 1.498
1.449 4.677 2.996
4.278 -4.581 2.996
4.278 4.581 0.000
1.530 2.002 2.996
1.530 11.164 0.000

---

ZnBiSe2N PBE optimized geometry; excess energy over the best structure of this formula in the dataset = 0.471 eV per atom; VASP energy = -3.062 eV/atom; total magnetization = 1.60 Bohr magnetons per cell
1.0
5.555 0.000 0.000
0.000 5.555 0.000
0.000 0.000 4.378
Zn Bi Se N
1 1 2 1
Cartesian
0.000 0.000 0.000
2.778 2.778 2.189
0.000 2.778 2.189
2.778 0.000 2.189
2.778 2.778 0.000

---

CaCdN3 PBE optimized geometry; VASP energy = -3.703 eV/atom; total magnetization = 5.01 Bohr magnetons per cell
1.0
4.428 0.000 0.000
0.000 4.428 0.000
0.000 0.000 4.428
Ca Cd N
1 1 3
Cartesian
0.000 0.000 0.000
2.214 2.214 2.214
0.000 0.000 2.214
0.000 2.214 0.000
2.214 0.000 0.000

---

Look up the total magnetization of the third one. 1.60 Bohr magnetons per cell

---

What did the fourth record say?
CaCdN3 PBE optimized geometry; VASP energy = -3.703 eV/atom; total magnetization = 5.01 Bohr magnetons per cell
1.0
4.428 0.000 0.000
0.000 4.428 0.000
0.000 0.000 4.428
Ca Cd N
1 1 3
Cartesian
0.000 0.000 0.000
2.214 2.214 2.214
0.000 0.000 2.214
0.000 2.214 0.000
2.214 0.000 0.000